This record from Alexandria describes Sm4GeBi2Se after structural relaxation. The functional is GGA-PBE.

Structure (POSCAR):
```
Sm4GeBi2Se
1.0
4.364 0.000 0.000
0.000 7.662 -0.192
0.000 2.658 7.089
Sm Se Bi Ge
4 1 2 1
Direct
0.500 0.271 0.739
0.000 0.732 0.748
0.000 0.268 0.252
0.500 0.729 0.261
0.500 0.500 0.000
0.500 0.000 0.500
0.000 0.000 0.000
0.000 0.500 0.500
```

## Properties
ΔE_f (raw) ... -9.12 eV per formula unit